This record from Alexandria via LeMat-Bulk describes GaBiPd3 after structural relaxation. The functional is GGA-PBE.

Unit cell a=5.536 b=4.657 c=7.759 alpha=107.46 beta=110.42 gamma=90.00
Element x y z (fractional)
1 Pd 0.880 0.799 0.598
2 Pd 0.267 0.021 0.042
3 Pd 0.120 0.201 0.402
4 Bi 0.839 0.587 0.174
5 Ga 0.626 0.188 0.377
6 Ga 0.374 0.812 0.623
7 Pd 0.385 0.643 0.286
8 Bi 0.161 0.413 0.826
9 Pd 0.733 0.979 0.958
10 Pd 0.615 0.357 0.714

As for the space-group type: C2/m, No. 12.


This record from Alexandria via LeMat-Bulk describes GaBiPd5 after structural relaxation. The functional is GGA-PBE.

Unit cell a=5.081 b=5.081 c=11.195 alpha=94.88 beta=94.88 gamma=58.72
Element x y z (fractional)
1 Bi 0.000 0.000 0.500
2 Pd 0.686 0.643 0.435
3 Pd 0.643 0.686 0.935
4 Pd 0.682 0.784 0.678
5 Bi 0.000 0.000 0.000
6 Pd 0.318 0.216 0.322
7 Pd 0.216 0.318 0.822
8 Pd 0.163 0.837 0.750
9 Pd 0.314 0.357 0.565
10 Ga 0.671 0.329 0.750
11 Pd 0.357 0.314 0.065
12 Pd 0.837 0.163 0.250
13 Ga 0.329 0.671 0.250
14 Pd 0.784 0.682 0.178

As for the space-group type: C2/c, No. 15.


no.,calculated formation energy (eV/atom),raw total energy (eV/atom),M_tot (μB/f.u.)
1,-0.3955,-4.8928,0.0
2,-0.2496,-4.9456,0.0